# Pa2BiAs

A geometry-optimized Pa2BiAs structure (PBE-GGA, the Alexandria database).

Cell and atoms, written as extended XYZ:
```
12
Lattice="4.214 0.000 0.000 -2.107 3.649 0.000 0.000 0.000 21.548" Properties=species:S:1:pos:R:3 pbc="T T T"
Pa 0.000 0.000 5.123
Pa 0.000 0.000 16.425
Pa 0.000 2.433 9.242
Pa 0.000 2.433 19.488
Pa 2.107 1.216 2.060
Pa 2.107 1.216 12.306
Bi 0.000 0.000 0.000
Bi 0.000 2.433 14.366
Bi 2.107 1.216 7.183
As 0.000 0.000 10.774
As 0.000 2.433 3.591
As 2.107 1.216 17.957
```

- relative energy among the computed polymorphs (eV/atom) = 0.000
- E_tot (eV for the cell shown) = -89.3
- DFT formation energy (kJ per mole of atoms) = -54